Record 1
# NdPuOs4 | Alexandria via LeMat-Bulk | PBE | relaxed
data_NdPuOs4
_cell_length_a 7.628
_cell_length_b 7.628
_cell_length_c 7.628
_cell_angle_alpha 90.00
_cell_angle_beta 90.00
_cell_angle_gamma 90.00
_space_group_name_H-M_alt 'F -4 3 m'
_space_group_IT_number 216
_space_group_name_Hall 'F -4 2 3'
loop_
_atom_site_label
_atom_site_fract_x
_atom_site_fract_y
_atom_site_fract_z
Nd1 0.000 0.000 0.000
Pu1 0.250 0.250 0.750
Os1 0.125 0.125 0.375
# Energy: -10.757 eV per atom
# Formation enthalpy at 0 K: -0.087 eV per atom



Record 2
# Sc6Rh5Au | Alexandria via LeMat-Bulk | PBE | relaxed
data_Sc6Rh5Au
_cell_length_a 4.587
_cell_length_b 6.593
_cell_length_c 7.233
_cell_angle_alpha 90.00
_cell_angle_beta 108.22
_cell_angle_gamma 90.00
_space_group_name_H-M_alt 'P 1 2/m 1'
_space_group_IT_number 10
loop_
_space_group_symop_operation_xyz
'x,y,z'
'-x,-y,-z'
'-x,y,-z'
'x,-y,z'
loop_
_atom_site_label
_atom_site_fract_x
_atom_site_fract_y
_atom_site_fract_z
Sc1 0.000 0.243 0.000
Sc2 0.329 0.248 0.660
Rh1 0.167 0.000 0.332
Rh2 0.168 0.500 0.334
Rh3 0.500 0.000 0.000
Au1 0.500 0.500 0.000
# Energy: -7.464 eV per atom
# Formation enthalpy at 0 K: -0.962 eV per atom



Record 3
# Pd3O4 | Alexandria via LeMat-Bulk | PBE | relaxed
data_Pd3O4
_cell_length_a 11.962
_cell_length_b 3.138
_cell_length_c 5.478
_cell_angle_alpha 90.00
_cell_angle_beta 90.08
_cell_angle_gamma 90.00
_space_group_name_H-M_alt 'C 1 2/m 1'
_space_group_IT_number 12
loop_
_space_group_symop_operation_xyz
'x,y,z'
'-x,-y,-z'
'-x,y,-z'
'x,-y,z'
'x+1/2,y+1/2,z'
'-x+1/2,-y+1/2,-z'
'-x+1/2,y+1/2,-z'
'x+1/2,-y+1/2,z'
loop_
_atom_site_label
_atom_site_fract_x
_atom_site_fract_y
_atom_site_fract_z
Pd1 0.000 0.000 0.000
Pd2 0.248 0.500 0.253
O1 0.163 0.000 0.075
O2 0.168 0.500 0.584
# Energy: -5.277 eV per atom
# Raw formation energy: -21 kJ per mole of atoms



Record 4
# Pr2CrSnN5 | Alexandria via LeMat-Bulk | PBE | relaxed
data_Pr2CrSnN5
_cell_length_a 3.350
_cell_length_b 15.183
_cell_length_c 10.154
_cell_angle_alpha 90.00
_cell_angle_beta 90.00
_cell_angle_gamma 90.00
_space_group_name_H-M_alt 'C m c 21'
_space_group_IT_number 36
loop_
_space_group_symop_operation_xyz
'x,y,z'
'-x,-y,z+1/2'
'-x,y,z'
'x,-y,z+1/2'
'x+1/2,y+1/2,z'
'-x+1/2,-y+1/2,z+1/2'
'-x+1/2,y+1/2,z'
'x+1/2,-y+1/2,z+1/2'
loop_
_atom_site_label
_atom_site_fract_x
_atom_site_fract_y
_atom_site_fract_z
Pr1 0.000 0.116 0.000
Pr2 0.000 0.124 0.644
Cr1 0.000 0.454 0.757
Sn1 0.000 0.211 0.352
N1 0.000 0.019 0.325
N2 0.000 0.295 0.994
N3 0.000 0.339 0.712
N4 0.000 0.347 0.326
N5 0.000 0.498 0.102
# Energy: -7.798 eV per atom
# Raw formation energy: -58 kJ per mole of atoms



Record 5
# KSr2Mn | Alexandria via LeMat-Bulk | PBE | relaxed
data_KSr2Mn
_cell_length_a 4.114
_cell_length_b 6.216
_cell_length_c 13.799
_cell_angle_alpha 90.00
_cell_angle_beta 90.00
_cell_angle_gamma 90.00
_space_group_name_H-M_alt 'I m m 2'
_space_group_IT_number 44
loop_
_space_group_symop_operation_xyz
'x,y,z'
'-x,-y,z'
'-x,y,z'
'x,-y,z'
'x+1/2,y+1/2,z+1/2'
'-x+1/2,-y+1/2,z+1/2'
'-x+1/2,y+1/2,z+1/2'
'x+1/2,-y+1/2,z+1/2'
loop_
_atom_site_label
_atom_site_fract_x
_atom_site_fract_y
_atom_site_fract_z
K1 0.000 0.000 0.000
Sr1 0.000 0.000 0.394
Sr2 0.000 0.500 0.199
Mn1 0.000 0.500 0.710
# Energy: -2.896 eV per atom
# Formation enthalpy at 0 K: 0.512 eV per atom



Record 6
# YIn2Ag | Alexandria via LeMat-Bulk | PBE | relaxed
data_YIn2Ag
_cell_length_a 3.4534
_cell_length_b 3.4534
_cell_length_c 28.8204
_cell_angle_alpha 90.00
_cell_angle_beta 90.00
_cell_angle_gamma 120.00
_space_group_name_H-M_alt 'R -3 m'
_space_group_IT_number 166
_space_group_name_Hall '-R 3 2"'
loop_
_atom_site_label
_atom_site_fract_x
_atom_site_fract_y
_atom_site_fract_z
Y1 0.0000 0.0000 0.0000
In1 0.0000 0.0000 0.2422
Ag1 0.0000 0.0000 0.5000
# Energy: -3.801 eV per atom
# Formation enthalpy at 0 K: -0.103 eV per atom



Record 7
# Ac7Pt4Au | Alexandria via LeMat-Bulk | PBE | relaxed
data_Ac7Pt4Au
_cell_length_a 14.625
_cell_length_b 4.289
_cell_length_c 13.296
_cell_angle_alpha 90.00
_cell_angle_beta 103.46
_cell_angle_gamma 90.00
_space_group_name_H-M_alt 'C 1 m 1'
_space_group_IT_number 8
loop_
_space_group_symop_operation_xyz
'x,y,z'
'x,-y,z'
'x+1/2,y+1/2,z'
'x+1/2,-y+1/2,z'
loop_
_atom_site_label
_atom_site_fract_x
_atom_site_fract_y
_atom_site_fract_z
Ac1 0.000 0.000 0.000
Ac2 0.010 0.500 0.293
Ac3 0.111 0.500 0.597
Ac4 0.222 0.000 0.862
Ac5 0.266 0.500 0.141
Ac6 0.304 0.000 0.437
Ac7 0.419 0.500 0.698
Pt1 0.065 0.500 0.824
Pt2 0.264 0.000 0.649
Pt3 0.381 0.000 0.070
Pt4 0.461 0.500 0.470
Au1 0.143 0.000 0.226
# Energy: -5.612 eV per atom
# Formation enthalpy at 0 K: -0.929 eV per atom



Record 8
# GdMgZrTl | Alexandria via LeMat-Bulk | PBE | relaxed
data_GdMgZrTl
_cell_length_a 7.346
_cell_length_b 7.346
_cell_length_c 7.346
_cell_angle_alpha 90.00
_cell_angle_beta 90.00
_cell_angle_gamma 90.00
_space_group_name_H-M_alt 'F -4 3 m'
_space_group_IT_number 216
_space_group_name_Hall 'F -4 2 3'
loop_
_atom_site_label
_atom_site_fract_x
_atom_site_fract_y
_atom_site_fract_z
Gd1 0.000 0.000 0.000
Mg1 0.250 0.250 0.250
Zr1 0.000 0.000 0.500
Tl1 0.250 0.250 0.750
# Energy: -6.701 eV per atom
# Formation enthalpy at 0 K: -0.054 eV per atom



Record 9
# Rb2YTiTl | Alexandria via LeMat-Bulk | PBE | relaxed
data_Rb2YTiTl
_cell_length_a 6.632
_cell_length_b 6.632
_cell_length_c 6.021
_cell_angle_alpha 90.00
_cell_angle_beta 90.00
_cell_angle_gamma 90.00
_space_group_name_H-M_alt 'P 4/m m m'
_space_group_IT_number 123
_space_group_name_Hall '-P 4 2'
loop_
_atom_site_label
_atom_site_fract_x
_atom_site_fract_y
_atom_site_fract_z
Rb1 0.000 0.500 0.000
Y1 0.000 0.000 0.500
Ti1 0.500 0.500 0.500
Tl1 0.000 0.000 0.000
# Energy: -2.538 eV per atom
# Formation enthalpy at 0 K: 1.195 eV per atom



Record 10
# TmTlRu | Alexandria via LeMat-Bulk | PBE | relaxed
data_TmTlRu
_cell_length_a 3.8669
_cell_length_b 3.8669
_cell_length_c 36.5059
_cell_angle_alpha 90.00
_cell_angle_beta 90.00
_cell_angle_gamma 120.00
_space_group_name_H-M_alt 'R -3 m'
_space_group_IT_number 166
_space_group_name_Hall '-R 3 2"'
loop_
_atom_site_label
_atom_site_fract_x
_atom_site_fract_y
_atom_site_fract_z
Tm1 0.0000 0.0000 0.0998
Tl1 0.0000 0.0000 0.3015
Ru1 0.0000 0.0000 0.1774
# Energy: -5.313 eV per atom
# Formation enthalpy at 0 K: 0.058 eV per atom



Record 11
# In2RhCl | Alexandria via LeMat-Bulk | PBE | relaxed
data_In2RhCl
_cell_length_a 7.128
_cell_length_b 7.128
_cell_length_c 8.321
_cell_angle_alpha 90.00
_cell_angle_beta 90.00
_cell_angle_gamma 90.00
_space_group_name_H-M_alt 'I -4 2 d'
_space_group_IT_number 122
_space_group_name_Hall 'I -4 2bw'
loop_
_atom_site_label
_atom_site_fract_x
_atom_site_fract_y
_atom_site_fract_z
In1 0.218 0.250 0.125
Rh1 0.000 0.000 0.000
Cl1 0.000 0.000 0.500
# Energy: -3.777 eV per atom
# Raw formation energy: -10 kJ per mole of atoms



Record 12
# CeNdEr2 | Alexandria via LeMat-Bulk | PBE | relaxed
data_CeNdEr2
_cell_length_a 3.5420
_cell_length_b 3.5420
_cell_length_c 34.4755
_cell_angle_alpha 90.00
_cell_angle_beta 90.00
_cell_angle_gamma 120.00
_space_group_name_H-M_alt 'R -3 m'
_space_group_IT_number 166
_space_group_name_Hall '-R 3 2"'
loop_
_atom_site_label
_atom_site_fract_x
_atom_site_fract_y
_atom_site_fract_z
Ce1 0.0000 0.0000 0.0000
Nd1 0.0000 0.0000 0.5000
Er1 0.0000 0.0000 0.2520
# Energy: -4.906 eV per atom
# Formation enthalpy at 0 K: 0.051 eV per atom



Record 13
# YCdIn | Alexandria via LeMat-Bulk | PBE | relaxed
data_YCdIn
_cell_length_a 3.392
_cell_length_b 5.777
_cell_length_c 8.245
_cell_angle_alpha 73.08
_cell_angle_beta 89.79
_cell_angle_gamma 89.82
_space_group_name_H-M_alt 'P -1'
_space_group_IT_number 2
loop_
_space_group_symop_operation_xyz
'x,y,z'
'-x,-y,-z'
loop_
_atom_site_label
_atom_site_fract_x
_atom_site_fract_y
_atom_site_fract_z
Y1 0.002 0.122 0.182
Cd1 0.498 0.246 0.498
In1 0.499 0.628 0.169
# Energy: -3.710 eV per atom
# Formation enthalpy at 0 K: -0.337 eV per atom



Record 14
# Re2HPd | Alexandria via LeMat-Bulk | PBE | relaxed
data_Re2HPd
_cell_length_a 6.093
_cell_length_b 6.093
_cell_length_c 5.265
_cell_angle_alpha 90.00
_cell_angle_beta 90.00
_cell_angle_gamma 90.00
_space_group_name_H-M_alt 'I -4 2 d'
_space_group_IT_number 122
_space_group_name_Hall 'I -4 2bw'
loop_
_atom_site_label
_atom_site_fract_x
_atom_site_fract_y
_atom_site_fract_z
Re1 0.149 0.250 0.125
H1 0.000 0.000 0.000
Pd1 0.000 0.000 0.500
# Energy: -7.874 eV per atom



Record 15
# LaSmMgTc | Alexandria via LeMat-Bulk | PBE | relaxed
data_LaSmMgTc
_cell_length_a 7.351
_cell_length_b 7.351
_cell_length_c 7.351
_cell_angle_alpha 90.00
_cell_angle_beta 90.00
_cell_angle_gamma 90.00
_space_group_name_H-M_alt 'F -4 3 m'
_space_group_IT_number 216
_space_group_name_Hall 'F -4 2 3'
loop_
_atom_site_label
_atom_site_fract_x
_atom_site_fract_y
_atom_site_fract_z
La1 0.000 0.000 0.000
Sm1 0.000 0.000 0.500
Mg1 0.250 0.250 0.750
Tc1 0.250 0.250 0.250
# Energy: -5.311 eV per atom
# Formation enthalpy at 0 K: 0.091 eV per atom



Record 16
# RbPmAgCl6 | Alexandria via LeMat-Bulk | PBE | relaxed
data_RbPmAgCl6
_cell_length_a 7.0047
_cell_length_b 7.0047
_cell_length_c 14.5711
_cell_angle_alpha 90.00
_cell_angle_beta 90.00
_cell_angle_gamma 120.00
_space_group_name_H-M_alt 'P -3 1 c'
_space_group_IT_number 163
_space_group_name_Hall '-P 3 2c'
loop_
_atom_site_label
_atom_site_fract_x
_atom_site_fract_y
_atom_site_fract_z
Rb1 0.0000 0.0000 0.0000
Pm1 0.3333 0.6667 0.2500
Ag1 0.3333 0.6667 0.7500
Cl1 0.0087 0.3811 0.6431
# Energy: -3.727 eV per atom
# Raw formation energy: -149 kJ per mole of atoms



Record 17
# DyPuSb2 | Alexandria via LeMat-Bulk | PBE | relaxed
data_DyPuSb2
_cell_length_a 3.674
_cell_length_b 3.674
_cell_length_c 7.991
_cell_angle_alpha 90.00
_cell_angle_beta 90.00
_cell_angle_gamma 90.00
_space_group_name_H-M_alt 'P 4/m m m'
_space_group_IT_number 123
_space_group_name_Hall '-P 4 2'
loop_
_atom_site_label
_atom_site_fract_x
_atom_site_fract_y
_atom_site_fract_z
Dy1 0.000 0.000 0.000
Pu1 0.000 0.000 0.500
Sb1 0.500 0.500 0.246
# Energy: -7.474 eV per atom
# Raw formation energy: -66 kJ per mole of atoms



Record 18
# RuWCl | Alexandria via LeMat-Bulk | PBE | relaxed
data_RuWCl
_cell_length_a 5.968
_cell_length_b 5.968
_cell_length_c 5.968
_cell_angle_alpha 90.00
_cell_angle_beta 90.00
_cell_angle_gamma 90.00
_space_group_name_H-M_alt 'F -4 3 m'
_space_group_IT_number 216
_space_group_name_Hall 'F -4 2 3'
loop_
_atom_site_label
_atom_site_fract_x
_atom_site_fract_y
_atom_site_fract_z
Ru1 0.000 0.000 0.000
W1 0.250 0.250 0.750
Cl1 0.000 0.000 0.500
# Energy: -7.082 eV per atom
# Raw formation energy: 91 kJ per mole of atoms



Record 19
# Li2NdHgPd2 | Alexandria via LeMat-Bulk | PBE | relaxed
data_Li2NdHgPd2
_cell_length_a 4.4213
_cell_length_b 4.4213
_cell_length_c 6.7552
_cell_angle_alpha 90.00
_cell_angle_beta 90.00
_cell_angle_gamma 120.00
_space_group_name_H-M_alt 'P -3 m 1'
_space_group_IT_number 164
_space_group_name_Hall '-P 3 2"'
loop_
_atom_site_label
_atom_site_fract_x
_atom_site_fract_y
_atom_site_fract_z
Li1 0.3333 0.6667 0.1525
Nd1 0.0000 0.0000 0.5000
Hg1 0.0000 0.0000 0.0000
Pd1 0.3333 0.6667 0.7501
# Energy: -3.729 eV per atom
# Formation enthalpy at 0 K: -0.515 eV per atom



Record 20
# Ga3Pd7 | Alexandria via LeMat-Bulk | PBE | relaxed
data_Ga3Pd7
_cell_length_a 13.763
_cell_length_b 4.113
_cell_length_c 5.518
_cell_angle_alpha 90.00
_cell_angle_beta 105.06
_cell_angle_gamma 90.00
_space_group_name_H-M_alt 'C 1 2/m 1'
_space_group_IT_number 12
loop_
_space_group_symop_operation_xyz
'x,y,z'
'-x,-y,-z'
'-x,y,-z'
'x,-y,z'
'x+1/2,y+1/2,z'
'-x+1/2,-y+1/2,-z'
'-x+1/2,y+1/2,-z'
'x+1/2,-y+1/2,z'
loop_
_atom_site_label
_atom_site_fract_x
_atom_site_fract_y
_atom_site_fract_z
Ga1 0.000 0.000 0.000
Ga2 0.191 0.000 0.663
Pd1 0.000 0.000 0.500
Pd2 0.082 0.500 0.856
Pd3 0.125 0.500 0.385
Pd4 0.206 0.000 0.138
# Energy: -5.118 eV per atom
# Formation enthalpy at 0 K: -0.575 eV per atom



Record 21
# La4Pm2Pr | Alexandria via LeMat-Bulk | PBE | relaxed
data_La4Pm2Pr
_cell_length_a 3.659
_cell_length_b 5.983
_cell_length_c 23.396
_cell_angle_alpha 90.00
_cell_angle_beta 90.00
_cell_angle_gamma 90.00
_space_group_name_H-M_alt 'I m m m'
_space_group_IT_number 71
_space_group_name_Hall '-I 2 2'
loop_
_atom_site_label
_atom_site_fract_x
_atom_site_fract_y
_atom_site_fract_z
La1 0.000 0.000 0.083
La2 0.000 0.000 0.362
Pm1 0.000 0.500 0.276
Pr1 0.000 0.500 0.000
# Energy: -4.776 eV per atom
# Formation enthalpy at 0 K: 0.079 eV per atom



Record 22
# HoVSi2Tc | Alexandria via LeMat-Bulk | PBE | relaxed
data_HoVSi2Tc
_cell_length_a 3.927
_cell_length_b 3.927
_cell_length_c 10.835
_cell_angle_alpha 90.00
_cell_angle_beta 90.00
_cell_angle_gamma 90.00
_space_group_name_H-M_alt 'I -4 m 2'
_space_group_IT_number 119
_space_group_name_Hall 'I -4 -2'
loop_
_atom_site_label
_atom_site_fract_x
_atom_site_fract_y
_atom_site_fract_z
Ho1 0.000 0.000 0.000
V1 0.000 0.500 0.250
Si1 0.000 0.000 0.389
Tc1 0.000 0.500 0.750
# Energy: -7.634 eV per atom
# Raw formation energy: -63 kJ per mole of atoms



Record 23
# LuAlRuRh | Alexandria via LeMat-Bulk | PBE | relaxed
data_LuAlRuRh
_cell_length_a 6.354
_cell_length_b 6.354
_cell_length_c 6.354
_cell_angle_alpha 90.00
_cell_angle_beta 90.00
_cell_angle_gamma 90.00
_space_group_name_H-M_alt 'F -4 3 m'
_space_group_IT_number 216
_space_group_name_Hall 'F -4 2 3'
loop_
_atom_site_label
_atom_site_fract_x
_atom_site_fract_y
_atom_site_fract_z
Lu1 0.000 0.000 0.000
Al1 0.000 0.000 0.500
Ru1 0.250 0.250 0.250
Rh1 0.250 0.250 0.750
# Energy: -6.985 eV per atom
# Formation enthalpy at 0 K: -0.763 eV per atom



Record 24
# ErTmSi2Pt5 | Alexandria via LeMat-Bulk | PBE | relaxed
data_ErTmSi2Pt5
_cell_length_a 4.159
_cell_length_b 4.159
_cell_length_c 8.934
_cell_angle_alpha 90.00
_cell_angle_beta 90.00
_cell_angle_gamma 90.00
_space_group_name_H-M_alt 'P 4/m m m'
_space_group_IT_number 123
_space_group_name_Hall '-P 4 2'
loop_
_atom_site_label
_atom_site_fract_x
_atom_site_fract_y
_atom_site_fract_z
Er1 0.000 0.000 0.000
Tm1 0.000 0.000 0.500
Si1 0.500 0.500 0.370
Pt1 0.000 0.500 0.235
Pt2 0.500 0.500 0.000
# Energy: -6.686 eV per atom
# Raw formation energy: -108 kJ per mole of atoms



Record 25
# YbH2 | Alexandria via LeMat-Bulk | PBE | relaxed
data_YbH2
_cell_length_a 5.267
_cell_length_b 5.267
_cell_length_c 5.267
_cell_angle_alpha 90.00
_cell_angle_beta 90.00
_cell_angle_gamma 90.00
_space_group_name_H-M_alt 'F m -3 m'
_space_group_IT_number 225
_space_group_name_Hall '-F 4 2 3'
loop_
_atom_site_label
_atom_site_fract_x
_atom_site_fract_y
_atom_site_fract_z
Yb1 0.000 0.000 0.000
H1 0.250 0.250 0.250
# Energy: -3.353 eV per atom



no.,theoretical density (Mg/m³)
1,17.20
2,7.84
3,6.19
4,6.72
5,2.53
6,7.14
7,10.51
8,8.00
9,3.21
10,10.00
11,5.78
12,8.23
13,6.79
14,16.30
15,6.88
16,2.96
17,10.01
18,10.01
19,8.30
20,10.50
21,6.40
22,7.36
23,10.51
24,14.69
25,7.96